Here is a geometry-optimized BaBiBH2 structure from Alexandria. Energies are from PBE.

Output
The value obtained for the calculated total energy is -16.52 eV for the cell shown. As for the crystal system: tetragonal. The calculation puts the density of states at the Fermi level at 0.525 states/eV per atom. The symmetry is P4/mmm.

a b c (Å): 4.4418 5.0358 4.4418
angles (deg): 90.00 90.00 90.00
Fractional positions:
H 0.0000 0.0000 0.5000
H 0.5000 0.0000 0.0000
B 0.0000 0.5000 0.0000
Bi 0.0000 0.0000 0.0000
Ba 0.5000 0.5000 0.5000

Here is a geometry-optimized BaHgBiB2 structure from Alexandria. Energies are from PBE.

Output
The value obtained for the calculated total energy is -13.56 eV for the cell shown. The value obtained for the formation enthalpy at 0 K is 1.18 eV/atom. As for the crystal system: tetragonal. The calculation puts the density of states at the Fermi level at 0.719 states/eV per atom. The symmetry is P4/mmm.

a b c (Å): 4.8890 5.9239 4.8890
angles (deg): 90.00 90.00 90.00
Fractional positions:
Ba 0.5000 0.5000 0.5000
B 0.0000 0.0000 0.5000
B 0.5000 0.0000 0.0000
Bi 0.0000 0.0000 0.0000
Hg 0.0000 0.5000 0.0000

Here is a geometry-optimized Ba2BiB2O6 structure from Alexandria. Energies are from PBE.

Output
The value obtained for the calculated total energy is -75.83 eV for the cell shown. The value obtained for the energy relative to the elements, uncorrected is -2273 meV/atom. As for the crystal system: trigonal. The calculation puts the density of states at the Fermi level at 0.259 states/eV per atom. The symmetry is R-3m.

a b c (Å): 5.4759 5.4759 7.3435
angles (deg): 68.11 68.11 60.00
Fractional positions:
Ba 0.7880 0.7880 0.6360
Ba 0.2120 0.2120 0.3640
Bi 0.0000 0.0000 0.0000
B 0.4244 0.4244 0.7267
B 0.5756 0.5756 0.2733
O 0.7223 0.7223 0.2756
O 0.2798 0.7223 0.2756
O 0.7223 0.2798 0.2756
O 0.2777 0.7202 0.7244
O 0.7202 0.2777 0.7244
O 0.2777 0.2777 0.7244

Here is a geometry-optimized Ba3BiB2O8 structure from Alexandria. Energies are from PBE.

Output
The value obtained for the calculated total energy is -94.18 eV for the cell shown. The value obtained for the energy relative to the elements, uncorrected is -2251 meV/atom. As for the crystal system: trigonal. The calculation puts the density of states at the Fermi level at 0.330 states/eV per atom. The symmetry is P-3m1.

a b c (Å): 5.6368 5.6368 7.4708
angles (deg): 90.00 90.00 120.00
Fractional positions:
Ba 0.3333 0.6667 0.7038
Ba 0.6667 0.3333 0.2962
Ba 0.0000 0.0000 0.0000
Bi 0.0000 0.0000 0.5000
B 0.3333 0.6667 0.2376
B 0.6667 0.3333 0.7624
O 0.3333 0.6667 0.0480
O 0.6667 0.3333 0.9520
O 0.1845 0.8155 0.3060
O 0.8155 0.1845 0.6940
O 0.1845 0.3690 0.3060
O 0.8155 0.6310 0.6940
O 0.6310 0.8155 0.3060
O 0.3690 0.1845 0.6940

Here is a geometry-optimized Ba2BiBPd structure from Alexandria. Energies are from PBE.

Output
The value obtained for the calculated total energy is -20.66 eV for the cell shown. The value obtained for the formation enthalpy at 0 K is -0.21 eV/atom. As for the crystal system: tetragonal. The calculation puts the density of states at the Fermi level at 0.481 states/eV per atom. The symmetry is P4/mmm.

a b c (Å): 6.2972 4.1201 6.2972
angles (deg): 90.00 90.00 90.00
Fractional positions:
B 0.0000 0.5000 0.0000
Bi 0.5000 0.5000 0.5000
Pd 0.0000 0.0000 0.0000
Ba 0.0000 0.0000 0.5000
Ba 0.5000 0.0000 0.0000

Here is a geometry-optimized BaRe2BiB structure from Alexandria. Energies are from PBE.

Output
The value obtained for the calculated total energy is -32.58 eV for the cell shown. The value obtained for the formation enthalpy at 0 K is 0.96 eV/atom. As for the crystal system: tetragonal. The calculation puts the density of states at the Fermi level at 0.947 states/eV per atom. The symmetry is P4/mmm.

a b c (Å): 4.4053 5.3913 4.4053
angles (deg): 90.00 90.00 90.00
Fractional positions:
Re 0.0000 0.0000 0.5000
Re 0.5000 0.0000 0.0000
B 0.0000 0.0000 0.0000
Bi 0.0000 0.5000 0.0000
Ba 0.5000 0.5000 0.5000

Here is a geometry-optimized BaTcBi2B structure from Alexandria. Energies are from PBE.

Output
The value obtained for the calculated total energy is -14.13 eV for the cell shown. The value obtained for the formation enthalpy at 0 K is 2.52 eV/atom. As for the crystal system: tetragonal. The calculation puts the density of states at the Fermi level at 2.130 states/eV per atom. The symmetry is P4/mmm.

a b c (Å): 6.1159 6.1159 4.8190
angles (deg): 90.00 90.00 90.00
Fractional positions:
Tc 0.5000 0.5000 0.5000
B 0.0000 0.0000 0.5000
Bi 0.0000 0.5000 0.0000
Bi 0.5000 0.0000 0.0000
Ba 0.0000 0.0000 0.0000

Here is a geometry-optimized Ba2YBiB structure from Alexandria. Energies are from PBE.

Output
The value obtained for the calculated total energy is -17.47 eV for the cell shown. The value obtained for the formation enthalpy at 0 K is 0.68 eV/atom. As for the crystal system: tetragonal. The calculation puts the density of states at the Fermi level at 1.240 states/eV per atom. The symmetry is P4/mmm.

a b c (Å): 6.8206 4.3632 6.8206
angles (deg): 90.00 90.00 90.00
Fractional positions:
Y 0.0000 0.0000 0.0000
B 0.0000 0.5000 0.0000
Bi 0.5000 0.5000 0.5000
Ba 0.0000 0.0000 0.5000
Ba 0.5000 0.0000 0.0000